*A*
## KRbZn3 (PBE)

Data for a relaxed KRbZn3 crystal.

Calculated values
The value obtained for the volume is 263.8 Å³/cell. The calculation puts the size of the total moment at 0.00 μB/f.u. As for the crystal system: cubic.

Cell lengths 6.4132, 6.4132, 6.4132 Å; angles 90.00, 90.00, 90.00 degrees
Space group Pm-3m (No. 221)
One atom of each set of equivalent atoms:
K1 0.0000 0.0000 0.0000 x1
Rb1 0.5000 0.5000 0.5000 x1
Zn1 0.0000 0.5000 0.5000 x3

***

*B*
## KRbZn3 (PBE)

Data for a relaxed KRbZn3 crystal.

Calculated values
The value obtained for the volume is 243.2 Å³/cell. The calculation puts the size of the total moment at 0.00 μB/f.u. As for the crystal system: cubic.

Cell lengths 6.2419, 6.2419, 6.2419 Å; angles 90.00, 90.00, 90.00 degrees
Space group Pm-3m (No. 221)
One atom of each set of equivalent atoms:
K1 0.0000 0.0000 0.0000 x1
Rb1 0.5000 0.5000 0.5000 x1
Zn1 0.0000 0.0000 0.5000 x3

***

Stability ranking, top entry: *B*; the second entry is 0.064 eV/atom less favorable.

***

*A*
## K2Rb2Zn (PBE)

Data for a relaxed K2Rb2Zn crystal.

Calculated values
The value obtained for the volume is 784.7 Å³/cell. The calculation puts the size of the total moment at 0.00 μB/f.u. As for the crystal system: tetragonal.

Cell lengths 5.8157, 5.8157, 23.1989 Å; angles 90.00, 90.00, 90.00 degrees
Space group I4/mmm (No. 139)
One atom of each set of equivalent atoms:
K1 0.0000 0.0000 0.0854 x4
Rb1 0.0000 0.5000 0.2500 x4
Zn1 0.0000 0.0000 0.5000 x2

***

*B*
## K2Rb2Zn (PBE)

Data for a relaxed K2Rb2Zn crystal.

Calculated values
The value obtained for the volume is 697.9 Å³/cell. The calculation puts the size of the total moment at 0.00 μB/f.u. As for the crystal system: tetragonal.

Cell lengths 9.6149, 9.6149, 7.5488 Å; angles 90.00, 90.00, 90.00 degrees
Space group P4/mbm (No. 127)
One atom of each set of equivalent atoms:
K1 0.1734 0.3266 0.0000 x4
Rb1 0.1602 0.6602 0.5000 x4
Zn1 0.0000 0.0000 0.5000 x2

***

*C*
## K2Rb2Zn (PBE)

Data for a relaxed K2Rb2Zn crystal.

Calculated values
The value obtained for the volume is 668.4 Å³/cell. The calculation puts the size of the total moment at 0.00 μB/f.u. As for the crystal system: tetragonal.

Cell lengths 9.4054, 9.4054, 7.5555 Å; angles 90.00, 90.00, 90.00 degrees
Space group P4/mbm (No. 127)
One atom of each set of equivalent atoms:
K1 0.1593 0.3407 0.0000 x4
Rb1 0.1803 0.6803 0.5000 x4
Zn1 0.0000 0.0000 0.0000 x2

***

Stability ranking, top entry: *C*; the second entry is 0.025 eV/atom less favorable.

***

*A*
## KRbZn2 (PBE)

Data for a relaxed KRbZn2 crystal.

Calculated values
The value obtained for the volume is 657.8 Å³/cell. The calculation puts the size of the total moment at 0.00 μB/f.u. As for the crystal system: tetragonal.

Cell lengths 9.6300, 9.6300, 7.0927 Å; angles 90.00, 90.00, 90.00 degrees
Space group I-42d (No. 122)
One atom of each set of equivalent atoms:
K1 0.0000 0.0000 0.0000 x4
Rb1 0.0000 0.0000 0.5000 x4
Zn1 0.2409 0.2500 0.1250 x8

***

*B*
## KRbZn2 (PBE)

Data for a relaxed KRbZn2 crystal.

Calculated values
The value obtained for the volume is 638.5 Å³/cell. The calculation puts the size of the total moment at 0.00 μB/f.u. As for the crystal system: cubic.

Cell lengths 8.6109, 8.6109, 8.6109 Å; angles 90.00, 90.00, 90.00 degrees
Space group Fm-3m (No. 225)
One atom of each set of equivalent atoms:
K1 0.0000 0.0000 0.0000 x4
Rb1 0.0000 0.0000 0.5000 x4
Zn1 0.2500 0.2500 0.2500 x8

***

Stability ranking, top entry: *B*; the second entry is 0.090 eV/atom less favorable.

***

*A*
## KRbZr2Zn (PBE)

Data for a relaxed KRbZr2Zn crystal.

Calculated values
The value obtained for the volume is 166.6 Å³/cell. The calculation puts the size of the total moment at 0.00 μB/f.u. As for the crystal system: tetragonal.

Cell lengths 5.3532, 5.3532, 5.8127 Å; angles 90.00, 90.00, 90.00 degrees
Space group P4/mmm (No. 123)
One atom of each set of equivalent atoms:
K1 0.0000 0.0000 0.0000 x1
Rb1 0.0000 0.0000 0.5000 x1
Zr1 0.0000 0.5000 0.0000 x2
Zn1 0.5000 0.5000 0.5000 x1

***

*B*
## KRbZr2Zn (PBE)

Data for a relaxed KRbZr2Zn crystal.

Calculated values
The value obtained for the volume is 183.7 Å³/cell. The calculation puts the size of the total moment at 2.36 μB/f.u. As for the crystal system: tetragonal.

Cell lengths 5.2586, 5.2586, 6.6432 Å; angles 90.00, 90.00, 90.00 degrees
Space group P4/mmm (No. 123)
One atom of each set of equivalent atoms:
K1 0.0000 0.0000 0.0000 x1
Rb1 0.5000 0.5000 0.0000 x1
Zr1 0.0000 0.5000 0.5000 x2
Zn1 0.0000 0.0000 0.5000 x1

***

Stability ranking, top entry: *B*; the second entry is 1.072 eV/atom less favorable.

***

*A*
## KRb2Zr2 (PBE)

Data for a relaxed KRb2Zr2 crystal.

Calculated values
The value obtained for the volume is 505.3 Å³/cell. The calculation puts the size of the total moment at 0.00 μB/f.u. As for the crystal system: tetragonal.

Cell lengths 4.0585, 4.0585, 30.6790 Å; angles 90.00, 90.00, 90.00 degrees
Space group I4/mmm (No. 139)
One atom of each set of equivalent atoms:
K1 0.0000 0.0000 0.0000 x2
Rb1 0.0000 0.0000 0.3649 x4
Zr1 0.0000 0.5000 0.2500 x4

***

*B*
## KRb2Zr2 (PBE)

Data for a relaxed KRb2Zr2 crystal.

Calculated values
The value obtained for the volume is 481.4 Å³/cell. The calculation puts the size of the total moment at 1.06 μB/f.u. As for the crystal system: tetragonal.

Cell lengths 11.7915, 11.7915, 3.4624 Å; angles 90.00, 90.00, 90.00 degrees
Space group P4/mbm (No. 127)
One atom of each set of equivalent atoms:
K1 0.0000 0.0000 0.0000 x2
Rb1 0.2033 0.2967 0.0000 x4
Zr1 0.0756 0.5756 0.5000 x4

***

Stability ranking, top entry: *A*; the second entry is 0.418 eV/atom less favorable.

***

*A*
## KRb2Zr (PBE)

Data for a relaxed KRb2Zr crystal.

Calculated values
The value obtained for the volume is 953.0 Å³/cell. The calculation puts the size of the total moment at 3.55 μB/f.u. As for the crystal system: tetragonal.

Cell lengths 10.8499, 10.8499, 8.0957 Å; angles 90.00, 90.00, 90.00 degrees
Space group I-42d (No. 122)
One atom of each set of equivalent atoms:
K1 0.0000 0.0000 0.0000 x4
Rb1 0.2384 0.2500 0.6250 x8
Zr1 0.0000 0.0000 0.5000 x4

***

*B*
## KRb2Zr (PBE)

Data for a relaxed KRb2Zr crystal.

Calculated values
The value obtained for the volume is 901.3 Å³/cell. The calculation puts the size of the total moment at 3.71 μB/f.u. As for the crystal system: cubic.

Cell lengths 9.6596, 9.6596, 9.6596 Å; angles 90.00, 90.00, 90.00 degrees
Space group Fm-3m (No. 225)
One atom of each set of equivalent atoms:
K1 0.0000 0.0000 0.0000 x4
Rb1 0.2500 0.2500 0.2500 x8
Zr1 0.0000 0.0000 0.5000 x4

***

Stability ranking, top entry: *B*; the second entry is 0.092 eV/atom less favorable.